1.
# MnIn2Pt2

Crystalline MnIn2Pt2 at its relaxed geometry (PBE, Alexandria).

- Size of the total moment: 8.11 Bohr magnetons per cell
- Mass density: 11.54 Mg/m³
- Final energy: -5.72 eV per atom
- V: 19.4 Å³ per atom
- Polymorph energy (0 for the lowest one): 0.00 kJ per mole of atoms

Cell and atoms, written as POSCAR:
```
MnIn2Pt2
1.0
-1.982 3.824 -1.034
-0.132 -1.242 -4.341
-8.677 -4.110 1.428
Mn In Pt
2 4 4
direct
0.750 0.249 0.666
0.250 0.751 0.334
0.750 0.250 0.994
0.250 0.750 0.675
0.250 0.750 0.006
0.750 0.250 0.325
0.250 0.251 0.500
0.750 0.750 0.173
0.250 0.250 0.827
0.750 0.749 0.500
```

2.
# MnInPt2

Crystalline MnInPt2 at its relaxed geometry (PBE, Alexandria).

- Size of the total moment: 3.98 Bohr magnetons per cell
- Mass density: 13.00 Mg/m³
- Final energy: -5.90 eV per atom
- V: 17.9 Å³ per atom

Cell and atoms, written as POSCAR:
```
MnInPt2
1.0
4.872 -1.724 -3.128
-1.412 4.972 3.128
-3.427 0.185 4.971
Mn In Pt
1 1 2
direct
0.000 0.000 0.000
0.000 0.500 0.500
0.000 0.236 0.236
0.000 0.764 0.764
```

3.
# MnInPt2

Crystalline MnInPt2 at its relaxed geometry (PBE, Alexandria).

- Size of the total moment: 4.17 Bohr magnetons per cell
- Mass density: 13.82 Mg/m³
- Final energy: -6.28 eV per atom
- V: 16.8 Å³ per atom

Cell and atoms, written as POSCAR:
```
MnInPt2
1.0
-1.570 -1.666 1.884
3.365 -1.952 1.078
0.884 3.774 4.074
In Mn Pt
1 1 2
direct
0.000 0.000 0.480
0.500 0.500 0.788
0.000 0.000 0.966
0.500 0.500 0.266
```

4.
# MnInPt2

Crystalline MnInPt2 at its relaxed geometry (PBE, Alexandria).

- Size of the total moment: 4.10 Bohr magnetons per cell
- Mass density: 13.94 Mg/m³
- Final energy: -6.32 eV per atom
- V: 16.7 Å³ per atom

Cell and atoms, written as POSCAR:
```
MnInPt2
1.0
5.023 -0.014 0.026
4.127 2.862 0.026
0.951 0.296 4.626
In Mn Pt
1 1 2
direct
0.502 0.502 0.467
0.744 0.744 0.795
0.005 0.005 0.959
0.250 0.250 0.279
```

5.
# MnInPt2

Crystalline MnInPt2 at its relaxed geometry (PBE, Alexandria).

- Size of the total moment: 4.30 Bohr magnetons per cell
- Mass density: 13.96 Mg/m³
- Final energy: -6.35 eV per atom
- V: 16.6 Å³ per atom

Cell and atoms, written as POSCAR:
```
MnInPt2
1.0
-0.182 -4.627 -0.692
1.116 -0.448 2.704
-4.447 -0.097 1.818
Mn Pt In
1 2 1
direct
0.500 0.624 0.839
0.000 0.125 0.917
0.500 0.125 0.323
0.000 0.625 0.421
```

6.
# PuMnIn

Crystalline PuMnIn at its relaxed geometry (PBE, Alexandria).

- Size of the total moment: 3.16 Bohr magnetons per cell
- Mass density: 10.03 Mg/m³
- Final energy: -8.58 eV per atom
- V: 22.8 Å³ per atom

Cell and atoms, written as POSCAR:
```
PuMnIn
1.0
-1.337 3.305 2.623
-3.466 -0.966 2.588
0.978 -0.520 4.291
Pu Mn In
1 1 1
direct
0.236 0.236 0.236
0.023 0.024 0.024
0.741 0.741 0.741
```

7.
# PuMnIn

Crystalline PuMnIn at its relaxed geometry (PBE, Alexandria).

- Size of the total moment: 6.62 Bohr magnetons per cell
- Mass density: 11.32 Mg/m³
- Final energy: -8.79 eV per atom
- V: 20.2 Å³ per atom

Cell and atoms, written as POSCAR:
```
PuMnIn
1.0
-5.052 2.128 0.430
2.725 -1.877 4.550
0.435 5.087 -1.650
Mn In Pu
2 2 2
direct
0.500 0.250 0.000
0.500 0.750 0.000
0.000 0.667 0.835
0.000 0.333 0.165
0.633 0.817 0.500
0.367 0.183 0.500
```

8.
# PuMn4In

Crystalline PuMn4In at its relaxed geometry (PBE, Alexandria).

- Size of the total moment: 6.70 Bohr magnetons per cell
- Mass density: 10.90 Mg/m³
- Final energy: -8.73 eV per atom
- V: 14.7 Å³ per atom

Cell and atoms, written as POSCAR:
```
PuMn4In
1.0
4.995 0.000 0.000
2.497 4.326 0.000
2.497 1.442 4.078
In Mn Pu
1 4 1
direct
0.000 0.000 0.000
0.626 0.626 0.122
0.626 0.122 0.626
0.626 0.626 0.626
0.122 0.626 0.626
0.250 0.250 0.250
```

9.
# PuMn2In

Crystalline PuMn2In at its relaxed geometry (PBE, Alexandria).

- Size of the total moment: 0.37 Bohr magnetons per cell
- Mass density: 10.97 Mg/m³
- Final energy: -8.79 eV per atom
- V: 17.7 Å³ per atom

Cell and atoms, written as POSCAR:
```
PuMn2In
1.0
3.074 0.000 0.000
0.000 4.803 0.000
0.000 0.000 4.803
In Mn Pu
1 2 1
direct
0.500 0.000 0.000
0.000 0.000 0.500
0.000 0.500 0.000
0.500 0.500 0.500
```

10.
# PuMnIn

Crystalline PuMnIn at its relaxed geometry (PBE, Alexandria).

- Size of the total moment: 2.55 Bohr magnetons per cell
- Mass density: 11.03 Mg/m³
- Final energy: -8.75 eV per atom
- V: 20.8 Å³ per atom

Cell and atoms, written as POSCAR:
```
PuMnIn
1.0
-1.747 2.415 -1.215
-1.852 -0.016 2.633
5.477 2.772 1.902
Mn Pu In
1 1 1
direct
0.666 0.666 0.331
0.313 0.313 0.626
0.022 0.022 0.043
```

11.
# Pu2Mn2InRh5

Crystalline Pu2Mn2InRh5 at its relaxed geometry (PBE, Alexandria).

- Size of the total moment: 6.59 Bohr magnetons per cell
- Mass density: 12.12 Mg/m³
- Final energy: -8.97 eV per atom
- V: 16.8 Å³ per atom

Cell and atoms, written as POSCAR:
```
Pu2Mn2InRh5
1.0
-2.746 -2.782 -0.590
6.225 -6.541 1.873
-2.295 0.372 8.924
Pu Mn In Rh
4 4 2 10
direct
0.000 0.674 0.174
0.000 0.326 0.826
0.000 0.174 0.326
0.000 0.826 0.674
0.000 0.126 0.626
0.000 0.874 0.374
0.000 0.626 0.874
0.000 0.374 0.126
0.000 0.000 0.000
0.000 0.500 0.500
0.500 0.206 0.072
0.500 0.794 0.928
0.500 0.072 0.794
0.500 0.706 0.428
0.500 0.928 0.206
0.500 0.294 0.572
0.500 0.572 0.706
0.500 0.428 0.294
0.500 0.500 0.000
0.500 0.000 0.500
```

12.
# PuMnInRh

Crystalline PuMnInRh at its relaxed geometry (PBE, Alexandria).

- Size of the total moment: 2.02 Bohr magnetons per cell
- Mass density: 11.62 Mg/m³
- Final energy: -8.63 eV per atom
- V: 18.5 Å³ per atom

Cell and atoms, written as POSCAR:
```
PuMnInRh
1.0
4.709 0.000 0.000
2.354 4.078 0.000
2.354 1.359 3.845
In Rh Mn Pu
1 1 1 1
direct
0.250 0.250 0.250
0.000 0.000 0.000
0.500 0.500 0.500
0.750 0.750 0.750
```

13.
# PuMnInRu

Crystalline PuMnInRu at its relaxed geometry (PBE, Alexandria).

- Size of the total moment: 2.02 Bohr magnetons per cell
- Mass density: 11.91 Mg/m³
- Final energy: -8.96 eV per atom
- V: 18.0 Å³ per atom

Cell and atoms, written as POSCAR:
```
PuMnInRu
1.0
-4.539 -1.051 -0.233
-1.379 -3.935 -2.093
-1.713 -3.517 2.542
Ru In Mn Pu
1 1 1 1
direct
0.250 0.250 0.250
0.000 0.000 0.000
0.750 0.750 0.750
0.500 0.500 0.500
```

14.
# PuScMnIn

Crystalline PuScMnIn at its relaxed geometry (PBE, Alexandria).

- Size of the total moment: 7.97 Bohr magnetons per cell
- Mass density: 9.40 Mg/m³
- Final energy: -8.00 eV per atom
- V: 20.3 Å³ per atom

Cell and atoms, written as POSCAR:
```
PuScMnIn
1.0
-2.714 3.391 2.175
-3.757 1.982 -2.355
-4.544 -1.036 1.368
Sc In Mn Pu
1 1 1 1
direct
0.000 0.000 0.000
0.250 0.250 0.250
0.500 0.500 0.500
0.750 0.750 0.750
```

15.
# PuMnZnIn

Crystalline PuMnZnIn at its relaxed geometry (PBE, Alexandria).

- Size of the total moment: 9.58 Bohr magnetons per cell
- Mass density: 9.57 Mg/m³
- Final energy: -6.65 eV per atom
- V: 20.8 Å³ per atom

Cell and atoms, written as POSCAR:
```
PuMnZnIn
1.0
-0.626 -3.460 3.412
3.432 -3.432 0.667
2.745 0.036 4.058
Zn In Mn Pu
1 1 1 1
direct
0.000 0.000 0.000
0.250 0.250 0.250
0.500 0.500 0.500
0.750 0.750 0.750
```

16.
# RbMn2In

Crystalline RbMn2In at its relaxed geometry (PBE, Alexandria).

- Size of the total moment: 16.00 Bohr magnetons per cell
- Mass density: 3.66 Mg/m³
- Final energy: -4.70 eV per atom
- V: 35.2 Å³ per atom
- Polymorph energy (0 for the lowest one): 0.00 kJ per mole of atoms

Cell and atoms, written as POSCAR:
```
RbMn2In
1.0
5.460 0.000 0.000
0.000 5.460 0.000
2.730 2.730 9.454
Mn Rb In
4 2 2
direct
0.875 0.125 0.250
0.875 0.625 0.250
0.375 0.125 0.750
0.875 0.125 0.750
0.500 0.500 0.000
0.250 0.750 0.500
0.000 0.000 0.000
0.750 0.250 0.500
```

17.
# RbMn3In

Crystalline RbMn3In at its relaxed geometry (PBE, Alexandria).

- Size of the total moment: 13.00 Bohr magnetons per cell
- Mass density: 4.00 Mg/m³
- Final energy: -5.18 eV per atom
- V: 30.3 Å³ per atom
- Polymorph energy (0 for the lowest one): 0.00 kJ per mole of atoms

Cell and atoms, written as POSCAR:
```
RbMn3In
1.0
5.332 0.000 0.000
0.000 5.332 0.000
0.000 0.000 5.332
Mn Rb In
3 1 1
direct
0.000 0.500 0.000
0.000 0.000 0.500
0.500 0.000 0.000
0.500 0.500 0.500
0.000 0.000 0.000
```

18.
# RbMn2In

Crystalline RbMn2In at its relaxed geometry (PBE, Alexandria).

- Size of the total moment: 8.70 Bohr magnetons per cell
- Mass density: 5.10 Mg/m³
- Final energy: -4.59 eV per atom
- V: 25.3 Å³ per atom
- Polymorph energy (0 for the lowest one): 10.57 kJ per mole of atoms

Cell and atoms, written as POSCAR:
```
RbMn2In
1.0
-1.765 -0.561 4.889
-4.808 1.631 1.247
-3.755 -3.485 1.040
Mn Rb In
2 1 1
direct
0.250 0.250 0.250
0.750 0.750 0.750
0.000 0.000 0.000
0.500 0.500 0.500
```

19.
# Rb2MnIn

Crystalline Rb2MnIn at its relaxed geometry (PBE, Alexandria).

- Size of the total moment: 3.28 Bohr magnetons per cell
- Mass density: 3.30 Mg/m³
- Final energy: -2.75 eV per atom
- V: 42.8 Å³ per atom
- Polymorph energy (0 for the lowest one): 17.68 kJ per mole of atoms

Cell and atoms, written as POSCAR:
```
Rb2MnIn
1.0
5.930 -0.119 1.924
1.386 -2.116 5.699
2.952 -5.451 0.669
Mn Rb In
1 2 1
direct
0.000 0.000 0.000
0.250 0.250 0.250
0.750 0.750 0.750
0.500 0.500 0.500
```

20.
# Rb3MnIn

Crystalline Rb3MnIn at its relaxed geometry (PBE, Alexandria).

- Size of the total moment: 4.71 Bohr magnetons per cell
- Mass density: 2.00 Mg/m³
- Final energy: -2.21 eV per atom
- V: 70.7 Å³ per atom
- Polymorph energy (0 for the lowest one): 0.00 kJ per mole of atoms

Cell and atoms, written as POSCAR:
```
Rb3MnIn
1.0
-5.538 -4.196 1.310
1.143 -3.409 -6.089
4.245 -4.557 3.348
Mn Rb In
1 3 1
direct
0.500 0.500 0.500
0.000 0.500 0.000
0.000 0.000 0.500
0.500 0.000 0.000
0.000 0.000 0.000
```

21.
# RbMnIn2

Crystalline RbMnIn2 at its relaxed geometry (PBE, Alexandria).

- Size of the total moment: 4.11 Bohr magnetons per cell
- Mass density: 5.41 Mg/m³
- Final energy: -3.42 eV per atom
- V: 28.4 Å³ per atom

Cell and atoms, written as POSCAR:
```
RbMnIn2
1.0
-0.194 -2.274 4.935
-2.233 2.705 4.154
-4.762 -1.628 2.058
Mn Rb In
1 1 2
direct
0.000 0.000 0.000
0.500 0.500 0.500
0.250 0.250 0.250
0.750 0.750 0.750
```

22.
# RbMn3In

Crystalline RbMn3In at its relaxed geometry (PBE, Alexandria).

- Size of the total moment: 11.99 Bohr magnetons per cell
- Mass density: 4.50 Mg/m³
- Final energy: -4.12 eV per atom
- V: 26.9 Å³ per atom
- Polymorph energy (0 for the lowest one): 101.98 kJ per mole of atoms

Cell and atoms, written as POSCAR:
```
RbMn3In
1.0
-3.261 3.400 2.019
-2.021 -3.682 2.937
3.399 1.073 3.684
Mn Rb In
3 1 1
direct
0.000 0.500 0.000
0.000 0.000 0.500
0.500 0.000 0.000
0.000 0.000 0.000
0.500 0.500 0.500
```

23.
# Rb2MnIn

Crystalline Rb2MnIn at its relaxed geometry (PBE, Alexandria).

- Size of the total moment: 8.01 Bohr magnetons per cell
- Mass density: 2.36 Mg/m³
- Final energy: -2.94 eV per atom
- V: 59.9 Å³ per atom
- Polymorph energy (0 for the lowest one): 0.00 kJ per mole of atoms

Cell and atoms, written as POSCAR:
```
Rb2MnIn
1.0
-11.899 -4.417 4.672
0.145 -10.010 -9.094
-4.632 -8.753 -0.497
Mn Rb In
2 4 2
direct
0.500 0.500 0.000
0.250 0.750 0.500
0.447 0.125 0.250
0.303 0.625 0.250
0.375 0.553 0.750
0.875 0.697 0.750
0.000 0.000 0.000
0.750 0.250 0.500
```

24.
# RbMn2InSi

Crystalline RbMn2InSi at its relaxed geometry (PBE, Alexandria).

- Size of the total moment: 7.79 Bohr magnetons per cell
- E_form (uncorrected): 357 kJ/mol of formula units
- Mass density: 3.82 Mg/m³
- Final energy: -4.75 eV per atom
- V: 29.4 Å³ per atom

Cell and atoms, written as POSCAR:
```
RbMn2InSi
1.0
4.836 0.000 0.000
0.000 6.291 0.000
0.000 0.000 4.836
Si Mn Rb In
1 2 1 1
direct
0.000 0.000 0.000
0.000 0.000 0.500
0.500 0.000 0.000
0.000 0.500 0.000
0.500 0.500 0.500
```

25.
# Rb2MnInSi

Crystalline Rb2MnInSi at its relaxed geometry (PBE, Alexandria).

- Size of the total moment: 3.50 Bohr magnetons per cell
- E_form (uncorrected): 255 kJ/mol of formula units
- Mass density: 2.82 Mg/m³
- Final energy: -3.32 eV per atom
- V: 43.4 Å³ per atom

Cell and atoms, written as POSCAR:
```
Rb2MnInSi
1.0
-4.779 -1.082 -4.745
-3.195 -0.578 3.350
-1.365 6.682 -0.149
Si Mn Rb In
1 1 2 1
direct
0.000 0.000 0.000
0.000 0.500 0.000
0.000 0.000 0.500
0.500 0.000 0.000
0.500 0.500 0.500
```

26.
# RbMnIn2Sn

Crystalline RbMnIn2Sn at its relaxed geometry (PBE, Alexandria).

- Size of the total moment: 0.00 Bohr magnetons per cell
- Mass density: 5.97 Mg/m³
- Final energy: -3.89 eV per atom
- V: 27.2 Å³ per atom

Cell and atoms, written as POSCAR:
```
RbMnIn2Sn
1.0
5.198 0.000 0.000
0.000 5.198 0.000
0.000 0.000 5.028
Mn Sn Rb In
1 1 1 2
direct
0.000 0.000 0.000
0.000 0.000 0.500
0.500 0.500 0.500
0.000 0.500 0.000
0.500 0.000 0.000
```

27.
# Rb2MnInTe4

Crystalline Rb2MnInTe4 at its relaxed geometry (PBE, Alexandria).

- Size of the total moment: 7.98 Bohr magnetons per cell
- E_form (uncorrected): -441 kJ/mol of formula units
- Mass density: 4.45 Mg/m³
- Final energy: -3.87 eV per atom
- V: 39.7 Å³ per atom

Cell and atoms, written as POSCAR:
```
Rb2MnInTe4
1.0
6.709 0.000 0.000
3.355 7.319 0.000
3.355 0.000 12.936
Rb Mn In Te
4 2 2 8
direct
0.184 0.000 0.632
0.816 0.000 0.368
0.566 0.500 0.868
0.934 0.500 0.132
0.250 0.500 0.500
0.500 0.000 0.000
0.750 0.500 0.500
0.000 0.000 0.000
0.307 0.795 0.123
0.224 0.205 0.877
0.899 0.795 0.877
0.571 0.205 0.123
0.443 0.705 0.377
0.526 0.295 0.623
0.851 0.705 0.623
0.179 0.295 0.377
```

28.
# Mn2InRe

Crystalline Mn2InRe at its relaxed geometry (PBE, Alexandria).

- Size of the total moment: 3.67 Bohr magnetons per cell
- Mass density: 11.03 Mg/m³
- Final energy: -8.12 eV per atom
- V: 15.5 Å³ per atom

Cell and atoms, written as POSCAR:
```
Mn2InRe
1.0
2.886 0.000 0.000
0.000 2.886 0.000
0.000 0.000 7.428
In Mn Re
1 2 1
direct
0.500 0.500 0.748
0.000 0.000 0.039
0.500 0.500 0.263
0.000 0.000 0.450
```